1.
First-principles (PBE) data for an optimized crystal structure of Y2Sc2Se2S3, as listed in the Alexandria database.

E_form (uncorrected): -1.584 eV/atom
Calculated volume: 414.5 Å³/cell
D(E_F): 11.758 states/eV per cell

```
data_Y2Sc2Se2S3
_cell_length_a 4.809
_cell_length_b 4.809
_cell_length_c 17.923
_cell_angle_alpha 90.00
_cell_angle_beta 90.00
_cell_angle_gamma 90.00
_space_group_name_H-M_alt 'I 4/m m m'
_space_group_IT_number 139
_space_group_name_Hall '-I 4 2'
loop_
_atom_site_label
_atom_site_type_symbol
_atom_site_fract_x
_atom_site_fract_y
_atom_site_fract_z
Y1 Y 0.000 0.000 0.181
Sc1 Sc 0.000 0.500 0.000
Se1 Se 0.000 0.000 0.404
S1 S 0.000 0.000 0.000
S2 S 0.000 0.500 0.250
```

2.
First-principles (PBE) data for an optimized crystal structure of Y2ScSeS, as listed in the Alexandria database.

E_form (uncorrected): -0.339 eV/atom
Calculated volume: 142.1 Å³/cell
D(E_F): 5.060 states/eV per cell
Energy above the lowest structure with this stoichiometry: 446 meV/atom

```
data_Y2ScSeS
_cell_length_a 5.170
_cell_length_b 5.170
_cell_length_c 5.317
_cell_angle_alpha 90.00
_cell_angle_beta 90.00
_cell_angle_gamma 90.00
_space_group_name_H-M_alt 'P 4/m m m'
_space_group_IT_number 123
_space_group_name_Hall '-P 4 2'
loop_
_atom_site_label
_atom_site_type_symbol
_atom_site_fract_x
_atom_site_fract_y
_atom_site_fract_z
Y1 Y 0.000 0.500 0.000
Sc1 Sc 0.000 0.000 0.500
Se1 Se 0.500 0.500 0.500
S1 S 0.500 0.500 0.000
```

3.
First-principles (PBE) data for an optimized crystal structure of YScSeS, as listed in the Alexandria database.

E_form (uncorrected): -1.802 eV/atom
Calculated volume: 252.6 Å³/cell
D(E_F): 2.152 states/eV per cell

```
data_YScSeS
_cell_length_a 3.7982
_cell_length_b 3.7982
_cell_length_c 20.2194
_cell_angle_alpha 90.00
_cell_angle_beta 90.00
_cell_angle_gamma 120.00
_space_group_name_H-M_alt 'R 3 m'
_space_group_IT_number 160
_space_group_name_Hall 'R 3 -2"'
loop_
_atom_site_label
_atom_site_type_symbol
_atom_site_fract_x
_atom_site_fract_y
_atom_site_fract_z
Y1 Y 0.0000 0.0000 0.0000
Sc1 Sc 0.0000 0.0000 0.8147
Se1 Se 0.0000 0.0000 0.5714
S1 S 0.0000 0.0000 0.4111
```

4.
First-principles (PBE) data for an optimized crystal structure of Y2ScSeS, as listed in the Alexandria database.

E_form (uncorrected): -0.785 eV/atom
Calculated volume: 128.8 Å³/cell
D(E_F): 7.040 states/eV per cell
Energy above the lowest structure with this stoichiometry: 0 meV/atom

```
data_Y2ScSeS
_cell_length_a 5.225
_cell_length_b 5.225
_cell_length_c 4.718
_cell_angle_alpha 90.00
_cell_angle_beta 90.00
_cell_angle_gamma 90.00
_space_group_name_H-M_alt 'P 4/m m m'
_space_group_IT_number 123
_space_group_name_Hall '-P 4 2'
loop_
_atom_site_label
_atom_site_type_symbol
_atom_site_fract_x
_atom_site_fract_y
_atom_site_fract_z
Y1 Y 0.000 0.500 0.000
Sc1 Sc 0.000 0.000 0.500
Se1 Se 0.500 0.500 0.500
S1 S 0.000 0.000 0.000
```